First-principles (PBE) data for a relaxed La2Be2Ru crystal, as listed in Alexandria.

Lattice parameters (Å, degrees): 7.8288 7.8288 3.6179 90.00 90.00 90.00
Positions (direct):
La (0.3013, 0.8013, 0.0000)
La (0.8013, 0.6987, 0.0000)
La (0.1987, 0.3013, 0.0000)
La (0.6987, 0.1987, 0.0000)
Ru (0.0000, 0.0000, 0.0000)
Ru (0.5000, 0.5000, 0.0000)
Be (0.0916, 0.5916, 0.5000)
Be (0.5916, 0.9084, 0.5000)
Be (0.4084, 0.0916, 0.5000)
Be (0.9084, 0.4084, 0.5000)

Summary:
formation energy = 2.74 eV per formula unit
DOS at the Fermi energy = 6.35 states/eV per cell
V = 22.17 Å³ per atom